1.
The following is a DFT calculation (PBE-GGA) of a relaxed structure of NaRe4Au3O12.

calculated density = 11.250 Mg/m³
crystal system = cubic
size of the total moment = 0.00 μB/atom
SG = No. 204
E = -6.899 eV/atom

Lattice parameters (Å, degrees): 6.6744 6.6744 6.6744 109.47 109.47 109.47
Fractional coordinates of all 20 atoms:
1 Au 0.5000 0.5000 0.0000
2 Au 0.5000 0.0000 0.5000
3 Au 0.0000 0.5000 0.5000
4 Na 0.0000 0.0000 0.0000
5 O 0.7930 0.2801 0.0731
6 O 0.2801 0.4871 0.2070
7 O 0.7199 0.9269 0.2070
8 O 0.4871 0.2070 0.2801
9 O 0.0731 0.7930 0.2801
10 O 0.2070 0.2801 0.4871
11 O 0.7930 0.7199 0.5129
12 O 0.5129 0.7930 0.7199
13 O 0.9269 0.2070 0.7199
14 O 0.2801 0.0731 0.7930
15 O 0.7199 0.5129 0.7930
16 O 0.2070 0.7199 0.9269
17 Re 0.5000 0.0000 0.0000
18 Re 0.0000 0.5000 0.0000
19 Re 0.0000 0.0000 0.5000
20 Re 0.5000 0.5000 0.5000

2.
The following is a DFT calculation (PBE-GGA) of a relaxed structure of ThCoSi.

calculated density = 8.168 Mg/m³
crystal system = cubic
size of the total moment = 0.33 μB/atom
SG = No. 216
E = -6.640 eV/atom

Lattice parameters (Å, degrees): 4.5099 4.5099 4.5099 60.00 60.00 60.00
Fractional coordinates of all 3 atoms:
1 Co 0.2500 0.2500 0.2500
2 Si 0.0000 0.0000 0.0000
3 Th 0.7500 0.7500 0.7500

3.
The following is a DFT calculation (PBE-GGA) of a relaxed structure of GdBiB.

calculated density = 9.085 Mg/m³
crystal system = cubic
size of the total moment = 0.00 μB/atom
SG = No. 216
E = -4.808 eV/atom

Lattice parameters (Å, degrees): 4.6020 4.6020 4.6020 60.00 60.00 60.00
Fractional coordinates of all 3 atoms:
1 B 0.0000 0.0000 0.0000
2 Bi 0.2500 0.2500 0.2500
3 Gd 0.7500 0.7500 0.7500

4.
The following is a DFT calculation (PBE-GGA) of a relaxed structure of ZrNbGeC.

calculated density = 7.144 Mg/m³
crystal system = trigonal
size of the total moment = 0.00 μB/atom
SG = No. 164
E = -8.778 eV/atom

Lattice parameters (Å, degrees): 3.2958 3.2958 13.2823 90.00 90.00 120.00
Fractional coordinates of all 8 atoms:
1 C 0.0000 0.0000 0.0000
2 C 0.0000 0.0000 0.5000
3 Ge 0.6667 0.3333 0.2605
4 Ge 0.3333 0.6667 0.7395
5 Nb 0.3333 0.6667 0.4131
6 Nb 0.6667 0.3333 0.5869
7 Zr 0.3333 0.6667 0.0975
8 Zr 0.6667 0.3333 0.9025